[1]
! Ca3AgSe | Alexandria via LeMat-Bulk | GGA-PBE | relaxed; values from VASP
! - Volume: 34.023 Å³/atom
! - Spin magnetization: 0.00 Bohr magnetons per cell
! - Density: 3.00 Mg/m³
! - Raw formation energy: -586 meV per atom
! - Polymorph energy (0 for the lowest one): 0 meV per atom
! - Energy: -3.054 eV per atom
&SYSTEM
  ibrav = 0, nat = 5, ntyp = 3
/
ATOMIC_SPECIES
Ca 40.08 Ca.upf
Ag 107.87 Ag.upf
Se 78.96 Se.upf
ATOMIC_POSITIONS angstrom
Ca 0.0000 0.0000 2.7705
Ca 0.0000 2.7705 0.0000
Ca 2.7705 0.0000 0.0000
Ag 2.7705 2.7705 2.7705
Se 0.0000 0.0000 0.0000
CELL_PARAMETERS angstrom
5.5409 0.0000 0.0000
0.0000 5.5409 0.0000
0.0000 0.0000 5.5409

---

[2]
! CoSiTcGe | Alexandria via LeMat-Bulk | GGA-PBE | relaxed; values from VASP
! - Volume: 12.753 Å³/atom
! - Spin magnetization: 0.00 Bohr magnetons per cell
! - Density: 8.39 Mg/m³
! - Raw formation energy: -222 meV per atom
! - Energy: -7.101 eV per atom
&SYSTEM
  ibrav = 0, nat = 4, ntyp = 4
/
ATOMIC_SPECIES
Co 58.93 Co.upf
Si 28.09 Si.upf
Tc 98.00 Tc.upf
Ge 72.64 Ge.upf
ATOMIC_POSITIONS angstrom
Co 0.0000 0.0000 0.0000
Si 4.4154 4.4154 4.4154
Tc 2.9436 2.9436 2.9436
Ge 1.4718 1.4718 1.4718
CELL_PARAMETERS angstrom
0.0000 2.9436 2.9436
2.9436 0.0000 2.9436
2.9436 2.9436 0.0000

---

[3]
! Tb2Ho5Er | Alexandria via LeMat-Bulk | GGA-PBE | relaxed; values from VASP
! - Formation enthalpy at 0 K: 16.5 meV/atom
! - Volume: 30.896 Å³/atom
! - Spin magnetization: 0.00 Bohr magnetons per cell
! - Density: 8.80 Mg/m³
! - Polymorph energy (0 for the lowest one): 0 meV per atom
! - Energy: -4.573 eV per atom
&SYSTEM
  ibrav = 0, nat = 16, ntyp = 3
/
ATOMIC_SPECIES
Tb 158.93 Tb.upf
Ho 164.93 Ho.upf
Er 167.26 Er.upf
ATOMIC_POSITIONS angstrom
Tb 1.7570 1.7593 0.0000
Tb 1.7669 8.8074 0.0000
Tb 5.2809 5.2888 0.0000
Tb 5.2908 12.3369 0.0000
Ho 0.0000 7.0481 2.4879
Ho 0.0068 10.5736 2.4879
Ho 1.7574 5.2864 0.0000
Ho 1.7666 12.3345 0.0000
Ho 3.5171 3.5255 2.4879
Ho 3.5239 0.0000 2.4879
Ho 3.5307 10.5707 2.4879
Ho 5.2813 1.7617 0.0000
Ho 5.2905 8.8097 0.0000
Ho 7.0411 3.5226 2.4879
Er 0.0000 0.0000 2.4879
Er 3.5239 7.0481 2.4879
CELL_PARAMETERS angstrom
7.0478 0.0000 0.0000
0.0000 14.0962 0.0000
0.0000 0.0000 4.9758

---

[4]
! Sc2Hg2As | Alexandria via LeMat-Bulk | GGA-PBE | relaxed; values from VASP
! - Formation enthalpy at 0 K: -286.8 meV/atom
! - Volume: 22.439 Å³/atom
! - Spin magnetization: 0.00 Bohr magnetons per cell
! - Density: 8.38 Mg/m³
! - Polymorph energy (0 for the lowest one): 208 meV per atom
! - Energy: -3.870 eV per atom
&SYSTEM
  ibrav = 0, nat = 10, ntyp = 3
/
ATOMIC_SPECIES
Sc 44.96 Sc.upf
Hg 200.59 Hg.upf
As 74.92 As.upf
ATOMIC_POSITIONS angstrom
Sc 1.2256 2.4818 0.0000
Sc 2.4818 6.1892 0.0000
Sc 4.9330 1.2256 0.0000
Sc 6.1892 4.9330 0.0000
Hg 1.0070 4.7144 2.0407
Hg 2.7004 1.0070 2.0407
Hg 4.7144 6.4077 2.0407
Hg 6.4077 2.7004 2.0407
As 0.0000 0.0000 2.0407
As 3.7074 3.7074 2.0407
CELL_PARAMETERS angstrom
7.4148 0.0000 0.0000
0.0000 7.4148 0.0000
0.0000 0.0000 4.0814

---

[5]
! ReHRuBr2 | Alexandria via LeMat-Bulk | GGA-PBE | relaxed; values from VASP
! - Volume: 14.535 Å³/atom
! - Spin magnetization: 0.00 Bohr magnetons per cell
! - Density: 10.24 Mg/m³
! - Energy: -4.346 eV per atom
&SYSTEM
  ibrav = 0, nat = 5, ntyp = 4
/
ATOMIC_SPECIES
Re 186.21 Re.upf
H 1.01 H.upf
Ru 101.07 Ru.upf
Br 79.90 Br.upf
ATOMIC_POSITIONS angstrom
Re 0.0000 0.0000 0.0000
H 0.0000 0.0000 1.7276
Ru 2.2931 2.2931 0.0000
Br 0.0000 2.2931 1.7276
Br 2.2931 0.0000 1.7276
CELL_PARAMETERS angstrom
4.5862 0.0000 0.0000
0.0000 4.5862 0.0000
0.0000 0.0000 3.4553

---

[6]
! Cr3WAu | Alexandria via LeMat-Bulk | GGA-PBE | relaxed; values from VASP
! - Formation enthalpy at 0 K: 1469.5 meV/atom
! - Volume: 20.407 Å³/atom
! - Spin magnetization: 8.67 Bohr magnetons per cell
! - Density: 8.74 Mg/m³
! - Polymorph energy (0 for the lowest one): 0 meV per atom
! - Energy: -7.551 eV per atom
&SYSTEM
  ibrav = 0, nat = 5, ntyp = 3
/
ATOMIC_SPECIES
Cr 52.00 Cr.upf
W 183.84 W.upf
Au 196.97 Au.upf
ATOMIC_POSITIONS angstrom
Cr 0.0000 0.0000 2.3364
Cr 0.0000 2.3364 0.0000
Cr 2.3364 0.0000 0.0000
W 0.0000 0.0000 0.0000
Au 2.3364 2.3364 2.3364
CELL_PARAMETERS angstrom
4.6729 0.0000 0.0000
0.0000 4.6729 0.0000
0.0000 0.0000 4.6729

---

[7]
! Mn2PRh | Alexandria via LeMat-Bulk | GGA-PBE | relaxed; values from VASP
! - Formation enthalpy at 0 K: -238.6 meV/atom
! - Volume: 12.736 Å³/atom
! - Spin magnetization: 0.01 Bohr magnetons per cell
! - Density: 7.95 Mg/m³
! - Energy: -8.014 eV per atom
&SYSTEM
  ibrav = 0, nat = 4, ntyp = 3
/
ATOMIC_SPECIES
Mn 54.94 Mn.upf
P 30.97 P.upf
Rh 102.91 Rh.upf
ATOMIC_POSITIONS angstrom
Mn 0.0000 0.0000 0.0000
Mn 0.0000 1.8435 1.8738
P 1.8435 0.0000 1.8738
Rh 0.0000 0.0000 3.7476
CELL_PARAMETERS angstrom
-1.8435 1.8435 3.7476
1.8435 -1.8435 3.7476
1.8435 1.8435 -3.7476

---

[8]
! Be2TlCl | Alexandria via LeMat-Bulk | GGA-PBE | relaxed; values from VASP
! - Volume: 23.102 Å³/atom
! - Spin magnetization: 0.00 Bohr magnetons per cell
! - Density: 4.63 Mg/m³
! - Raw formation energy: 839 meV per atom
! - Polymorph energy (0 for the lowest one): 683 meV per atom
! - Energy: -2.077 eV per atom
&SYSTEM
  ibrav = 0, nat = 4, ntyp = 3
/
ATOMIC_SPECIES
Be 9.01 Be.upf
Tl 204.38 Tl.upf
Cl 35.45 Cl.upf
ATOMIC_POSITIONS angstrom
Be 0.0000 2.0151 0.0000
Be 2.0151 0.0000 0.0000
Tl 0.0000 0.0000 2.8446
Cl 2.0151 2.0151 2.8446
CELL_PARAMETERS angstrom
4.0303 0.0000 0.0000
0.0000 4.0303 0.0000
0.0000 0.0000 5.6891

---

[9]
! Ba2CuAs2 | Alexandria via LeMat-Bulk | GGA-PBE | relaxed; values from VASP
! - Formation enthalpy at 0 K: -841.1 meV/atom
! - Volume: 28.934 Å³/atom
! - Spin magnetization: 0.00 Bohr magnetons per cell
! - Density: 5.60 Mg/m³
! - Polymorph energy (0 for the lowest one): 0 meV per atom
! - Energy: -4.289 eV per atom
&SYSTEM
  ibrav = 0, nat = 10, ntyp = 3
/
ATOMIC_SPECIES
Ba 137.33 Ba.upf
Cu 63.55 Cu.upf
As 74.92 As.upf
ATOMIC_POSITIONS angstrom
Ba -0.4533 0.0000 4.4263
Ba 0.4780 0.0000 9.3335
Ba 7.8235 0.0000 1.5577
Ba 8.7549 0.0000 6.4650
Cu 4.4524 0.0000 1.9155
Cu 3.8491 0.0000 8.9758
As -2.8582 0.0000 9.8949
As 2.9196 0.0000 3.8165
As 5.3820 0.0000 7.0747
As 11.1597 0.0000 0.9963
CELL_PARAMETERS angstrom
5.9967 -2.2151 0.0000
5.9967 2.2151 0.0000
-3.6918 0.0000 10.8912

---

[10]
! LaErIr | Alexandria via LeMat-Bulk | GGA-PBE | relaxed; values from VASP
! - Formation enthalpy at 0 K: -581.9 meV/atom
! - Volume: 31.788 Å³/atom
! - Spin magnetization: 0.00 Bohr magnetons per cell
! - Density: 8.68 Mg/m³
! - Polymorph energy (0 for the lowest one): 62 meV per atom
! - Energy: -6.699 eV per atom
&SYSTEM
  ibrav = 0, nat = 3, ntyp = 3
/
ATOMIC_SPECIES
La 138.91 La.upf
Er 167.26 Er.upf
Ir 192.22 Ir.upf
ATOMIC_POSITIONS angstrom
La 0.0000 0.0000 0.0000
Er 2.0892 1.2062 3.4345
Ir 0.0000 2.4124 4.7845
CELL_PARAMETERS angstrom
4.1784 0.0000 0.0000
-2.0892 3.6186 0.0000
0.0000 0.0000 6.3072

---

[11]
! SbMoBr2 | Alexandria via LeMat-Bulk | GGA-PBE | relaxed; values from VASP
! - Volume: 27.656 Å³/atom
! - Spin magnetization: 0.00 Bohr magnetons per cell
! - Density: 5.67 Mg/m³
! - Raw formation energy: 1 meV per atom
! - Polymorph energy (0 for the lowest one): 101 meV per atom
! - Energy: -4.574 eV per atom
&SYSTEM
  ibrav = 0, nat = 4, ntyp = 3
/
ATOMIC_SPECIES
Sb 121.76 Sb.upf
Mo 95.94 Mo.upf
Br 79.90 Br.upf
ATOMIC_POSITIONS angstrom
Sb 0.0000 0.0000 0.0000
Mo 2.1192 1.6857 0.8721
Br -0.0244 1.6857 6.0511
Br 2.0623 0.0000 2.8375
CELL_PARAMETERS angstrom
4.1511 0.0000 0.0000
0.0000 3.3713 0.0000
-1.8623 0.0000 7.9047

---

[12]
! CeCoRu2 | Alexandria via LeMat-Bulk | GGA-PBE | relaxed; values from VASP
! - Formation enthalpy at 0 K: -21.5 meV/atom
! - Volume: 15.802 Å³/atom
! - Spin magnetization: 0.56 Bohr magnetons per cell
! - Density: 10.54 Mg/m³
! - Polymorph energy (0 for the lowest one): 0 meV per atom
! - Energy: -7.919 eV per atom
&SYSTEM
  ibrav = 0, nat = 4, ntyp = 3
/
ATOMIC_SPECIES
Ce 140.12 Ce.upf
Co 58.93 Co.upf
Ru 101.07 Ru.upf
ATOMIC_POSITIONS angstrom
Ce 0.0000 0.0000 0.0000
Co 2.0030 2.0030 0.0000
Ru 0.0000 2.0030 1.9694
Ru 2.0030 0.0000 1.9694
CELL_PARAMETERS angstrom
4.0059 0.0000 0.0000
0.0000 4.0059 0.0000
0.0000 0.0000 3.9388

---

[13]
! BaNiIr2 | Alexandria via LeMat-Bulk | GGA-PBE | relaxed; values from VASP
! - Formation enthalpy at 0 K: 1023.3 meV/atom
! - Volume: 19.009 Å³/atom
! - Spin magnetization: 1.87 Bohr magnetons per cell
! - Density: 12.68 Mg/m³
! - Energy: -5.333 eV per atom
&SYSTEM
  ibrav = 0, nat = 4, ntyp = 3
/
ATOMIC_SPECIES
Ba 137.33 Ba.upf
Ni 58.69 Ni.upf
Ir 192.22 Ir.upf
ATOMIC_POSITIONS angstrom
Ba 0.0000 0.0000 0.0000
Ni 3.3625 3.3625 3.3625
Ir 1.6813 1.6813 1.6813
Ir 5.0438 5.0438 5.0438
CELL_PARAMETERS angstrom
0.0000 3.3625 3.3625
3.3625 0.0000 3.3625
3.3625 3.3625 0.0000